DFT (PBE) results for a relaxed structure of Dy4TmIn5.

```
data_Dy4TmIn5
_cell_length_a 3.7315
_cell_length_b 3.7315
_cell_length_c 18.9694
_cell_angle_alpha 90.00
_cell_angle_beta 90.00
_cell_angle_gamma 90.00
_space_group_name_H-M_alt 'P 4/m m m'
_space_group_IT_number 123
_space_group_name_Hall '-P 4 2'
loop_
_atom_site_label
_atom_site_fract_x
_atom_site_fract_y
_atom_site_fract_z
_atom_site_occupancy
Dy1 0.0000 0.0000 0.1007 1
Dy2 0.0000 0.0000 0.3020 1
Tm1 0.0000 0.0000 0.5000 1
In1 0.5000 0.5000 0.0000 1
In2 0.5000 0.5000 0.2014 1
In3 0.5000 0.5000 0.4029 1
```

Values from the calculation:
VASP energy: -4.114 eV per atom
ΔE_f: -0.457 eV/atom
Total magnetic moment: 0.000 μB/cell



DFT (PBE) results for a relaxed structure of Dy8AgAu2.

```
data_Dy8AgAu2
_cell_length_a 17.8328
_cell_length_b 5.1055
_cell_length_c 6.9214
_cell_angle_alpha 90.00
_cell_angle_beta 105.56
_cell_angle_gamma 90.00
_space_group_name_H-M_alt 'C 1 2/m 1'
_space_group_IT_number 12
loop_
_space_group_symop_operation_xyz
'x,y,z'
'-x,-y,-z'
'-x,y,-z'
'x,-y,z'
'x+1/2,y+1/2,z'
'-x+1/2,-y+1/2,-z'
'-x+1/2,y+1/2,-z'
'x+1/2,-y+1/2,z'
loop_
_atom_site_label
_atom_site_fract_x
_atom_site_fract_y
_atom_site_fract_z
_atom_site_occupancy
Dy1 0.0302 0.0000 0.2728 1
Dy2 0.0915 0.5000 0.9595 1
Dy3 0.1675 0.5000 0.4730 1
Dy4 0.2004 0.0000 0.8235 1
Ag1 0.0000 0.5000 0.5000 1
Au1 0.1862 0.0000 0.2275 1
```

Values from the calculation:
VASP energy: -4.561 eV per atom
ΔE_f: -0.359 eV/atom
Total magnetic moment: 0.000 μB/cell



DFT (PBE) results for a relaxed structure of ErPuSc2Te4.

```
data_ErPuSc2Te4
_cell_length_a 7.4046
_cell_length_b 4.2413
_cell_length_c 7.4069
_cell_angle_alpha 90.00
_cell_angle_beta 109.04
_cell_angle_gamma 90.00
_space_group_name_H-M_alt 'P 1 2/m 1'
_space_group_IT_number 10
loop_
_space_group_symop_operation_xyz
'x,y,z'
'-x,-y,-z'
'-x,y,-z'
'x,-y,z'
loop_
_atom_site_label
_atom_site_fract_x
_atom_site_fract_y
_atom_site_fract_z
_atom_site_occupancy
Er1 0.0000 0.0000 0.0000 1
Pu1 0.5000 0.5000 0.0000 1
Sc1 0.0000 0.5000 0.5000 1
Sc2 0.5000 0.0000 0.5000 1
Te1 0.2410 0.0000 0.7338 1
Te2 0.2506 0.5000 0.2639 1
```

Values from the calculation:
E_form (uncorrected): -110.0 kJ per mole of atoms
VASP energy: -6.655 eV per atom
Total magnetic moment: 6.028 μB/cell



DFT (PBE) results for a relaxed structure of SrZnAu4.

```
data_SrZnAu4
_cell_length_a 10.4856
_cell_length_b 7.2593
_cell_length_c 7.2826
_cell_angle_alpha 90.00
_cell_angle_beta 108.54
_cell_angle_gamma 90.00
_space_group_name_H-M_alt 'C 1 2/m 1'
_space_group_IT_number 12
loop_
_space_group_symop_operation_xyz
'x,y,z'
'-x,-y,-z'
'-x,y,-z'
'x,-y,z'
'x+1/2,y+1/2,z'
'-x+1/2,-y+1/2,-z'
'-x+1/2,y+1/2,-z'
'x+1/2,-y+1/2,z'
loop_
_atom_site_label
_atom_site_fract_x
_atom_site_fract_y
_atom_site_fract_z
_atom_site_occupancy
Sr1 0.1750 0.0000 0.2824 1
Zn1 0.0964 0.5000 0.2540 1
Au1 0.0000 0.3029 0.5000 1
Au2 0.1143 0.2956 0.9359 1
Au3 0.1526 0.0000 0.7108 1
```

Values from the calculation:
Energy above the most stable polymorph in this dataset: 0 kJ/mol of formula units
VASP energy: -3.118 eV per atom
ΔE_f: -0.440 eV/atom
Total magnetic moment: 0.000 μB/cell



DFT (PBE) results for a relaxed structure of SrLi2MgSi.

```
data_SrLi2MgSi
_cell_length_a 5.0159
_cell_length_b 5.0159
_cell_length_c 5.1903
_cell_angle_alpha 90.00
_cell_angle_beta 90.00
_cell_angle_gamma 90.00
_space_group_name_H-M_alt 'P 4/m m m'
_space_group_IT_number 123
_space_group_name_Hall '-P 4 2'
loop_
_atom_site_label
_atom_site_fract_x
_atom_site_fract_y
_atom_site_fract_z
_atom_site_occupancy
Sr1 0.0000 0.0000 0.0000 1
Li1 0.0000 0.5000 0.5000 1
Mg1 0.5000 0.5000 0.0000 1
Si1 0.5000 0.5000 0.5000 1
```

Values from the calculation:
E_form (uncorrected): -2.1 kJ per mole of atoms
VASP energy: -2.527 eV per atom
Total magnetic moment: 0.000 μB/cell



DFT (PBE) results for a relaxed structure of Rb2PmNp3O12.

```
data_Rb2PmNp3O12
_cell_length_a 8.0392
_cell_length_b 8.0392
_cell_length_c 18.8262
_cell_angle_alpha 90.00
_cell_angle_beta 90.00
_cell_angle_gamma 120.00
_space_group_name_H-M_alt 'R -3 m'
_space_group_IT_number 166
_space_group_name_Hall '-R 3 2"'
loop_
_atom_site_label
_atom_site_fract_x
_atom_site_fract_y
_atom_site_fract_z
_atom_site_occupancy
Rb1 0.0000 0.0000 0.1288 1
Pm1 0.0000 0.0000 0.5000 1
Np1 0.0000 0.5000 0.0000 1
O1 0.0441 0.5220 0.1021 1
O2 0.0814 0.5407 0.3461 1
```

Values from the calculation:
E_form (uncorrected): -262.5 kJ per mole of atoms
VASP energy: -8.555 eV per atom
Total magnetic moment: 6.000 μB/cell



DFT (PBE) results for a relaxed structure of NaFeTe2Cl.

```
data_NaFeTe2Cl
_cell_length_a 5.3783
_cell_length_b 5.3783
_cell_length_c 5.3854
_cell_angle_alpha 90.00
_cell_angle_beta 90.00
_cell_angle_gamma 90.00
_space_group_name_H-M_alt 'P 4/m m m'
_space_group_IT_number 123
_space_group_name_Hall '-P 4 2'
loop_
_atom_site_label
_atom_site_fract_x
_atom_site_fract_y
_atom_site_fract_z
_atom_site_occupancy
Na1 0.0000 0.0000 0.0000 1
Fe1 0.0000 0.0000 0.5000 1
Te1 0.0000 0.5000 0.0000 1
Cl1 0.5000 0.5000 0.5000 1
```

Values from the calculation:
E_form (uncorrected): 91.6 kJ per mole of atoms
VASP energy: -2.633 eV per atom
Total magnetic moment: 3.871 μB/cell



DFT (PBE) results for a relaxed structure of Nd2InHPd6.

```
data_Nd2InHPd6
_cell_length_a 10.0496
_cell_length_b 5.7932
_cell_length_c 7.2090
_cell_angle_alpha 90.00
_cell_angle_beta 117.86
_cell_angle_gamma 90.00
_space_group_name_H-M_alt 'C 1 2/m 1'
_space_group_IT_number 12
loop_
_space_group_symop_operation_xyz
'x,y,z'
'-x,-y,-z'
'-x,y,-z'
'x,-y,z'
'x+1/2,y+1/2,z'
'-x+1/2,-y+1/2,-z'
'-x+1/2,y+1/2,-z'
'x+1/2,-y+1/2,z'
loop_
_atom_site_label
_atom_site_fract_x
_atom_site_fract_y
_atom_site_fract_z
_atom_site_occupancy
Nd1 0.2322 0.0000 0.2005 1
In1 0.0000 0.5000 0.0000 1
H1 0.0000 0.0000 0.5000 1
Pd1 0.0207 0.2469 0.3202 1
Pd2 0.2251 0.0000 0.6744 1
```

Values from the calculation:
VASP energy: -5.297 eV per atom
Total magnetic moment: 0.000 μB/cell



Q: Which formula does entry 1 have?
A: Dy4TmIn5